VASP calculation (PBE-GGA) on a geometry-optimized Ga2NiPt structure.

Output
Crystal system ... tetragonal
Total moment ... 0.000 μB per atom
DOS(E_F) ... 2.3 states/eV per cell
VASP energy ... -4.89 eV/atom
Formation enthalpy at 0 K ... -0.418 eV per atom
SG ... No. 123

Lattice parameters (Å, degrees): 3.0501 3.0501 5.9891 90.00 90.00 90.00
Closest atoms and distances in Å follow each position.
Atoms (fractional coordinates):
Ni (0.5000, 0.5000, 0.0000)  8 Ga 2.56
Ga (0.0000, 0.0000, 0.7710)  4 Ni 2.56, 4 Pt 2.70, 1 Ga 2.74
Ga (0.0000, 0.0000, 0.2290)  4 Ni 2.56, 4 Pt 2.70, 1 Ga 2.74
Pt (0.5000, 0.5000, 0.5000)  8 Ga 2.70, 2 Ni 2.99